Entry 1:
The following is a PBE calculation of a geometry-optimized NaCoSnGe structure, from OQMD.

Computed properties:
- Space group: F-43m
- Size of the total moment: 0.010 μB/atom
- Energy above the most stable polymorph in this dataset: 292 meV per atom
- Volume: 18.64 Å³ per atom

Geometry as POSCAR:
```
NaCoSnGe
1.0
0.0000 3.3403 3.3403
3.3403 0.0000 3.3403
3.3403 3.3403 0.0000
Ge Co Na Sn
1 1 1 1
direct
0.2500 0.2500 0.2500
0.0000 0.0000 0.0000
0.7500 0.7500 0.7500
0.5000 0.5000 0.5000
```

***

Entry 2:
The following is a PBE calculation of a geometry-optimized BaCd6Sn structure, from OQMD.

Computed properties:
- Energy: -12.1 eV/f.u.
- Space group: R-3
- Volume: 26.61 Å³ per atom

Geometry as POSCAR:
```
BaCd6Sn
1.0
-1.6620 -4.8440 3.3996
2.9321 3.5413 4.0800
-5.3235 2.9781 -0.7584
Ba Cd Sn
1 6 1
direct
0.0000 0.0000 0.0000
0.9629 0.7097 0.4236
0.4236 0.9629 0.7097
0.5764 0.0371 0.2903
0.0371 0.2903 0.5764
0.7097 0.4236 0.9629
0.2903 0.5764 0.0371
0.5000 0.5000 0.5000
```

***

Entry 3:
The following is a PBE calculation of a geometry-optimized Os2C structure, from OQMD.

Computed properties:
- Space group: Fd-3m
- Size of the total moment: 0.002 μB/atom
- Energy above the most stable polymorph in this dataset: 2704 meV per atom
- Volume: 15.42 Å³ per atom

Geometry as POSCAR:
```
Os2C
1.0
3.8035 -2.0859 2.6380
1.9708 2.4535 3.9841
-0.8204 -1.7259 4.7037
Os C
4 2
direct
0.1250 0.6250 0.6250
0.6250 0.1250 0.6250
0.6250 0.6250 0.6250
0.6250 0.6250 0.1250
0.0000 0.0000 0.0000
0.2500 0.2500 0.2500
```

***

Entry 4:
The following is a PBE calculation of a geometry-optimized LaTb2Sn5Pb2 structure, from OQMD.

Computed properties:
- Space group: Cmmm
- Size of the total moment: 0.000 μB/atom
- Energy above the most stable polymorph in this dataset: 0 meV per atom
- Volume: 27.69 Å³ per atom

Geometry as POSCAR:
```
LaTb2Sn5Pb2
1.0
2.3295 -12.7457 0.0000
2.3295 12.7457 0.0000
0.0000 0.0000 4.6626
Tb Pb Sn La
2 2 5 1
direct
0.1896 0.8104 0.0000
0.8104 0.1896 0.0000
0.5990 0.4010 0.0000
0.4010 0.5990 0.0000
0.7085 0.2915 0.5000
0.1002 0.8998 0.5000
0.8998 0.1002 0.5000
0.5000 0.5000 0.5000
0.2915 0.7085 0.5000
0.0000 0.0000 0.0000
```